Compound: GaHg2
Source: Alexandria
Functional: PBE
Structure: optimized geometry

a b c (Å): 3.2275 3.9823 5.9750
angles (deg): 73.40 83.15 82.43
Last column: nearest neighbours and their distance in Å.
Space group P1 (No. 1)
Symmetry-distinct sites (fractional):
Ga 0.0000 0.0000 0.0000  6 Hg 2.93-3.13, 2 Ga 3.23
Hg 0.3340 0.3408 0.3189  3 Ga 2.93-3.13, 5 Hg 3.10-3.28
Hg 0.6621 0.6591 0.6818  3 Ga 2.93-3.12, 5 Hg 3.10-3.28

crystal system = triclinic
ΔE_f = 0.071 eV/atom